Entry 1:
DFT (meta-GGA SCAN) results for a crystal of TaCu2Sb relaxed with PBEsol.

## Properties
raw formation energy	0.138	eV per atom
density of states at the Fermi level	0.378	states/eV/atom

a b c (Å): 3.8770 3.9771 3.9771
angles (deg): 90.00 90.00 90.00
Last column: nearest neighbours and their distance in Å.
Sites, in units of the cell vectors:
Cu 0.0000 0.0000 0.5000  4 Sb 2.78, 4 Ta 2.78, 4 Cu 2.81
Cu 0.0000 0.5000 0.0000  4 Ta 2.78, 4 Sb 2.78, 4 Cu 2.81
Ta 0.5000 0.0000 0.0000  8 Cu 2.78, 4 Sb 2.81
Sb 0.5000 0.5000 0.5000  8 Cu 2.78, 4 Ta 2.81

=====

Entry 2:
DFT (meta-GGA SCAN) results for a crystal of ZnCdRe3 relaxed with PBEsol.

## Properties
density of states at the Fermi level	0.925	states/eV/atom
calculated formation energy	2141	meV per atom

a b c (Å): 4.4759 4.4759 4.4759
angles (deg): 90.00 90.00 90.00
Last column: nearest neighbours and their distance in Å.
Sites, in units of the cell vectors:
Re 0.0000 0.5000 0.0000  2 Zn 2.24
Re 0.0000 0.0000 0.5000  2 Zn 2.24
Re 0.5000 0.0000 0.0000  2 Zn 2.24
Cd 0.5000 0.5000 0.5000  12 Re 3.16
Zn 0.0000 0.0000 0.0000  6 Re 2.24

=====

Entry 3:
DFT (meta-GGA SCAN) results for a crystal of La3Te relaxed with PBEsol.

## Properties
raw formation energy	-0.695	eV per atom
density of states at the Fermi level	0.953	states/eV/atom
E above lowest polymorph	0.162	eV per atom

a b c (Å): 3.8097 5.6674 6.1645
angles (deg): 101.22 108.00 90.00
Last column: nearest neighbours and their distance in Å.
Sites, in units of the cell vectors:
La 0.5000 0.5000 0.0000  2 La 3.36, 4 Te 3.41
La 0.2733 0.7784 0.5466  5 La 3.29-3.63, 3 Te 3.30-3.67
La 0.7267 0.2216 0.4534  5 La 3.29-3.63, 3 Te 3.30-3.67
Te 0.0000 0.0000 0.0000  10 La 3.30-3.67

=====

Entry 4:
DFT (meta-GGA SCAN) results for a crystal of MnTlHg2 relaxed with PBEsol.

## Properties
density of states at the Fermi level	0.475	states/eV/atom
calculated formation energy	56	meV per atom

a b c (Å): 3.2559 3.2559 9.5503
angles (deg): 80.19 80.19 60.00
Last column: nearest neighbours and their distance in Å.
Sites, in units of the cell vectors:
Tl 0.0000 0.0000 0.0000  6 Hg 3.25, 6 Tl 3.26
Hg 0.2390 0.2390 0.2829  3 Mn 2.77
Hg 0.7610 0.7610 0.7171  3 Mn 2.77
Mn 0.5000 0.5000 0.5000  6 Hg 2.77

=====

Entry 5:
DFT (meta-GGA SCAN) results for a crystal of SrReN2O relaxed with PBEsol.

## Properties
raw formation energy	-1.148	eV per atom
density of states at the Fermi level	0.236	states/eV/atom

a b c (Å): 3.9091 3.9091 3.9744
angles (deg): 90.00 90.00 90.00
Last column: nearest neighbours and their distance in Å.
Sites, in units of the cell vectors:
Sr 0.5000 0.5000 0.5000  4 O 2.76, 8 N 2.79
O 0.0000 0.0000 0.5000  2 Re 1.99
N 0.0000 0.5000 0.0000  2 Re 1.95
N 0.5000 0.0000 0.0000  2 Re 1.95
Re 0.0000 0.0000 0.0000  4 N 1.95, 2 O 1.99

=====

Entry 6:
DFT (meta-GGA SCAN) results for a crystal of KIr2Rh relaxed with PBEsol.

## Properties
density of states at the Fermi level	1.134	states/eV/atom
calculated formation energy	606	meV per atom
E above lowest polymorph	0.000	eV per atom

a b c (Å): 2.6485 3.8227 7.4949
angles (deg): 90.00 90.00 90.00
Last column: nearest neighbours and their distance in Å.
Sites, in units of the cell vectors:
Ir 0.0000 0.0000 0.3305  3 Ir 2.54-2.65, 4 Rh 2.65
Ir 0.0000 0.0000 0.6695  3 Ir 2.54-2.65, 4 Rh 2.65
K 0.5000 0.5000 0.0000  2 K 2.65
Rh 0.5000 0.5000 0.5000  2 Rh 2.65, 8 Ir 2.65

=====

Entry 7:
DFT (meta-GGA SCAN) results for a crystal of Hf6Al16Co7 relaxed with PBEsol.

## Properties
density of states at the Fermi level	0.551	states/eV/atom
calculated formation energy	-558	meV per atom

a b c (Å): 8.3936 8.3936 8.3936
angles (deg): 60.00 60.00 60.00
Last column: nearest neighbours and their distance in Å.
Sites, in units of the cell vectors:
Al 0.9935 0.3355 0.3355  3 Co 2.42, 3 Al 2.69
Al 0.1183 0.1183 0.1183  4 Co 2.43-2.62, 3 Al 2.69
Al 0.6645 0.6645 0.6645  3 Co 2.42, 3 Al 2.69
Al 0.3355 0.3355 0.9935  3 Co 2.42, 3 Al 2.69
Al 0.8817 0.3549 0.8817  4 Co 2.43-2.62, 3 Al 2.69
Al 0.6451 0.1183 0.1183  4 Co 2.43-2.62, 3 Al 2.69
Al 0.3549 0.8817 0.8817  4 Co 2.43-2.62, 3 Al 2.69
Al 0.8817 0.8817 0.8817  4 Co 2.43-2.62, 3 Al 2.69
Al 0.0065 0.6645 0.6645  3 Co 2.42, 3 Al 2.69
Al 0.6645 0.0065 0.6645  3 Co 2.42, 3 Al 2.69
Al 0.3355 0.3355 0.3355  3 Co 2.42, 3 Al 2.69
Al 0.1183 0.6451 0.1183  4 Co 2.43-2.62, 3 Al 2.69
Al 0.3355 0.9935 0.3355  3 Co 2.42, 3 Al 2.69
Al 0.8817 0.8817 0.3549  4 Co 2.43-2.62, 3 Al 2.69
Al 0.6645 0.6645 0.0065  3 Co 2.42, 3 Al 2.69
Al 0.1183 0.1183 0.6451  4 Co 2.43-2.62, 3 Al 2.69
Co 0.5000 0.0000 0.5000  8 Al 2.42-2.62
Co 0.5000 0.5000 0.0000  8 Al 2.42-2.62
Co 0.0000 0.5000 0.5000  8 Al 2.42-2.62
Co 0.0000 0.0000 0.0000  8 Al 2.43
Co 0.0000 0.5000 0.0000  8 Al 2.42-2.62
Co 0.0000 0.0000 0.5000  8 Al 2.42-2.62
Co 0.5000 0.0000 0.0000  8 Al 2.42-2.62
Hf 0.6910 0.3090 0.3090  8 Al 2.78-3.01, 4 Co 3.05
Hf 0.3090 0.6910 0.6910  8 Al 2.78-3.01, 4 Co 3.05
Hf 0.6910 0.3090 0.6910  8 Al 2.78-3.01, 4 Co 3.05
Hf 0.3090 0.6910 0.3090  8 Al 2.78-3.01, 4 Co 3.05
Hf 0.3090 0.3090 0.6910  8 Al 2.78-3.01, 4 Co 3.05
Hf 0.6910 0.6910 0.3090  8 Al 2.78-3.01, 4 Co 3.05

=====

Entry 8:
DFT (meta-GGA SCAN) results for a crystal of MnAg2Ir relaxed with PBEsol.

## Properties
density of states at the Fermi level	0.526	states/eV/atom
calculated formation energy	157	meV per atom
E above lowest polymorph	0.135	eV per atom

a b c (Å): 2.9397 4.6124 5.2671
angles (deg): 115.97 106.20 90.00
Last column: nearest neighbours and their distance in Å.
Sites, in units of the cell vectors:
Mn 0.2379 0.7379 0.4759  2 Ir 2.46, 6 Ag 2.71-2.74
Ag 0.9903 0.9903 0.9807  2 Mn 2.71, 4 Ir 2.75, 4 Ag 2.79-2.94
Ag 0.7533 0.2533 0.5065  4 Mn 2.74, 4 Ag 2.79-2.94, 2 Ir 2.80
Ir 0.5185 0.5185 0.0369  2 Mn 2.46, 4 Ag 2.75

=====

Entry 9:
DFT (meta-GGA SCAN) results for a crystal of CuMo2O7 relaxed with PBEsol.

## Properties
raw formation energy	-1.780	eV per atom

a b c (Å): 7.7588 10.5673 11.0119
angles (deg): 90.93 90.00 90.00
Last column: nearest neighbours and their distance in Å.
Sites, in units of the cell vectors:
O 0.7173 0.6233 0.5020  1 Mo 1.73, 1 Cu 1.92
O 0.8982 0.0554 0.9182  1 Mo 1.77, 1 Cu 1.93
O 0.7859 0.5531 0.8149  1 Mo 1.76, 1 Cu 1.88
O 0.1018 0.5554 0.9182  1 Mo 1.77, 1 Cu 1.93
O 0.2010 0.8969 0.3276  2 Mo 1.82-1.92
O 0.9668 0.4461 0.5965  1 Mo 1.78
O 0.5860 0.7445 0.2800  1 Mo 1.72
O 0.0332 0.9461 0.5965  1 Mo 1.78
O 0.6193 0.7500 0.0000  2 Mo 1.89
O 0.5453 0.4139 0.1304  1 Mo 1.72
O 0.7990 0.3969 0.3276  2 Mo 1.82-1.92
O 0.2374 0.8023 0.8625  1 Mo 1.75, 1 Cu 1.91
O 0.7626 0.3023 0.8625  1 Mo 1.75, 1 Cu 1.91
O 0.2141 0.4469 0.1851  1 Mo 1.76, 1 Cu 1.88
O 0.1018 0.9446 0.0818  1 Mo 1.77, 1 Cu 1.93
O 0.7626 0.1977 0.1375  1 Mo 1.75, 1 Cu 1.91
O 0.2141 0.0531 0.8149  1 Mo 1.76, 1 Cu 1.88
O 0.2827 0.3767 0.4980  1 Mo 1.73, 1 Cu 1.92
O 0.3652 0.6275 0.4669  1 Mo 1.75, 1 Cu 1.91
O 0.2010 0.6031 0.6724  2 Mo 1.82-1.92
O 0.7173 0.8767 0.4980  1 Mo 1.73, 1 Cu 1.92
O 0.8857 0.8040 0.8470  1 Mo 1.77, 1 Cu 1.88
O 0.2374 0.6977 0.1375  1 Mo 1.75, 1 Cu 1.91
O 0.5860 0.7555 0.7200  1 Mo 1.72
O 0.8857 0.6960 0.1530  1 Mo 1.77, 1 Cu 1.88
O 0.1143 0.1960 0.1530  1 Mo 1.77, 1 Cu 1.88
O 0.6348 0.1275 0.4669  1 Mo 1.75, 1 Cu 1.91
O 0.3652 0.8725 0.5331  1 Mo 1.75, 1 Cu 1.91
O 0.0332 0.5539 0.4035  1 Mo 1.78
O 0.8982 0.4446 0.0818  1 Mo 1.77, 1 Cu 1.93
O 0.2827 0.1233 0.5020  1 Mo 1.73, 1 Cu 1.92
O 0.1143 0.3040 0.8470  1 Mo 1.77, 1 Cu 1.88
O 0.4547 0.9139 0.1304  1 Mo 1.72
O 0.4140 0.2555 0.7200  1 Mo 1.72
O 0.4140 0.2445 0.2800  1 Mo 1.72
O 0.5453 0.0861 0.8696  1 Mo 1.72
O 0.7990 0.1031 0.6724  2 Mo 1.82-1.92
O 0.9668 0.0539 0.4035  1 Mo 1.78
O 0.3807 0.2500 0.0000  2 Mo 1.89
O 0.4547 0.5861 0.8696  1 Mo 1.72
O 0.7859 0.9469 0.1851  1 Mo 1.76, 1 Cu 1.88
O 0.6348 0.3725 0.5331  1 Mo 1.75, 1 Cu 1.91
Mo 0.7017 0.7946 0.1563  4 O 1.72-1.89
Mo 0.1983 0.9722 0.4878  4 O 1.73-1.92
Mo 0.2983 0.2054 0.8437  4 O 1.72-1.89
Mo 0.2528 0.8602 0.1695  4 O 1.72-1.82
Mo 0.8017 0.4722 0.4878  4 O 1.73-1.92
Mo 0.7472 0.1398 0.8305  4 O 1.72-1.82
Mo 0.7017 0.7054 0.8437  4 O 1.72-1.89
Mo 0.2528 0.6398 0.8305  4 O 1.72-1.82
Mo 0.2983 0.2946 0.1563  4 O 1.72-1.89
Mo 0.8017 0.0278 0.5122  4 O 1.73-1.92
Mo 0.1983 0.5278 0.5122  4 O 1.73-1.92
Mo 0.7472 0.3602 0.1695  4 O 1.72-1.82
Cu 0.5404 0.7500 0.5000  4 O 1.91-1.92
Cu 0.9407 0.0726 0.1358  4 O 1.88-1.93
Cu 0.9407 0.4274 0.8642  4 O 1.88-1.93
Cu 0.0593 0.5726 0.1358  4 O 1.88-1.93
Cu 0.4596 0.2500 0.5000  4 O 1.91-1.92
Cu 0.0593 0.9274 0.8642  4 O 1.88-1.93

=====

Entry 10:
DFT (meta-GGA SCAN) results for a crystal of Y2ReP2 relaxed with PBEsol.

## Properties
density of states at the Fermi level	0.623	states/eV/atom
calculated formation energy	-945	meV per atom
E above lowest polymorph	0.039	eV per atom

a b c (Å): 5.4910 7.1912 10.7009
angles (deg): 90.00 90.00 90.00
Last column: nearest neighbours and their distance in Å.
Sites, in units of the cell vectors:
Re 0.7500 0.7087 0.8704  3 P 2.21-2.33
Re 0.2500 0.7913 0.3704  3 P 2.21-2.33
Re 0.7500 0.2087 0.6296  3 P 2.21-2.33
Re 0.2500 0.2913 0.1296  3 P 2.21-2.33
Y 0.2500 0.0032 0.6998  4 P 2.72-2.81
Y 0.2500 0.5032 0.8002  4 P 2.72-2.81
Y 0.7500 0.9968 0.3002  4 P 2.72-2.81
Y 0.2500 0.8365 0.0538  5 P 2.75-2.80
Y 0.7500 0.1635 0.9462  5 P 2.75-2.80
Y 0.7500 0.4968 0.1998  4 P 2.72-2.81
Y 0.2500 0.3365 0.4462  5 P 2.75-2.80
Y 0.7500 0.6635 0.5538  5 P 2.75-2.80
P 0.7500 0.3295 0.4273  1 Re 2.33
P 0.2500 0.1705 0.9273  1 Re 2.33
P 0.7500 0.8295 0.0727  1 Re 2.33
P 0.2500 0.5584 0.2364  2 Re 2.21-2.23
P 0.7500 0.4416 0.7636  2 Re 2.21-2.23
P 0.2500 0.6705 0.5727  1 Re 2.33
P 0.2500 0.0584 0.2636  2 Re 2.21-2.23
P 0.7500 0.9416 0.7364  2 Re 2.21-2.23

=====

Entry 11:
DFT (meta-GGA SCAN) results for a crystal of CaGaAgSb2 relaxed with PBEsol.

## Properties
raw formation energy	0.746	eV per atom
density of states at the Fermi level	0.529	states/eV/atom

a b c (Å): 5.3240 5.6310 5.6310
angles (deg): 90.00 90.00 90.00
Last column: nearest neighbours and their distance in Å.
Sites, in units of the cell vectors:
Ca 0.0000 0.0000 0.0000  2 Ag 2.66, 4 Sb 2.82
Ag 0.5000 0.0000 0.0000  2 Ca 2.66
Sb 0.0000 0.5000 0.0000  2 Ca 2.82
Sb 0.0000 0.0000 0.5000  2 Ca 2.82
Ga 0.5000 0.5000 0.5000  8 Sb 3.87, 4 Ag 3.98

=====

Entry 12:
DFT (meta-GGA SCAN) results for a crystal of NaSb2Pd2 relaxed with PBEsol.

## Properties
raw formation energy	-0.475	eV per atom
density of states at the Fermi level	0.471	states/eV/atom
E above lowest polymorph	0.000	eV per atom

a b c (Å): 4.5231 4.5231 6.3810
angles (deg): 110.76 110.76 90.00
Last column: nearest neighbours and their distance in Å.
Sites, in units of the cell vectors:
Sb 0.6299 0.6299 0.2599  4 Pd 2.62, 1 Sb 2.87
Sb 0.3701 0.3701 0.7401  4 Pd 2.62, 1 Sb 2.87
Pd 0.7500 0.2500 0.5000  4 Sb 2.62
Pd 0.2500 0.7500 0.5000  4 Sb 2.62
Na 0.0000 0.0000 0.0000  8 Sb 3.51, 8 Pd 3.57